First-principles (PBE) data for an optimized crystal structure of Zr3CuRe, as listed in the Alexandria database.

Unit cell a=5.064 b=5.064 c=5.064 alpha=90.00 beta=90.00 gamma=90.00
Element x y z (fractional)
1 Zr 0.500 0.000 0.000
2 Zr 0.000 0.000 0.500
3 Zr 0.000 0.500 0.000
4 Cu 0.500 0.500 0.500
5 Re 0.000 0.000 0.000

Computed properties:
Crystal system: cubic
V in Å³/cell: 129.8
Calculated formation energy in kJ/mol of formula units: 378
SG: Pm-3m
Offset from the most stable computed form in meV per atom: 0
N(E_F) in states/eV/f.u.: 7.8